# ScVCoRe, relaxed, DFT PBE
# Energy of formation in eV/f.u.: -0.554
data_ScVCoRe
_chemical_formula_sum 'Sc4 V4 Co4 Re4'
_cell_length_a 6.1340
_cell_length_b 6.1340
_cell_length_c 6.1340
_cell_angle_alpha 90.00
_cell_angle_beta 90.00
_cell_angle_gamma 90.00
_space_group_name_H-M_alt 'F -4 3 m'
_space_group_IT_number 216
_space_group_name_Hall 'F -4 2 3'
loop_
_atom_site_label
_atom_site_type_symbol
_atom_site_fract_x
_atom_site_fract_y
_atom_site_fract_z
_atom_site_occupancy
Sc1 Sc 0.0000 0.0000 0.0000 1
V1 V 0.0000 0.0000 0.5000 1
Co1 Co 0.2500 0.2500 0.2500 1
Re1 Re 0.2500 0.2500 0.7500 1

---

# SmMg4Ga4, relaxed, DFT PBE
# Energy of formation in eV/f.u.: -1.534
data_SmMg4Ga4
_chemical_formula_sum 'Sm2 Mg8 Ga8'
_cell_length_a 6.6011
_cell_length_b 6.6011
_cell_length_c 8.9990
_cell_angle_alpha 90.00
_cell_angle_beta 90.00
_cell_angle_gamma 90.00
_space_group_name_H-M_alt 'P 42/n m c'
_space_group_IT_number 137
loop_
_space_group_symop_operation_xyz
'x,y,z'
'-x,-y,-z'
'-y+1/2,x,z+1/2'
'y+1/2,-x,-z+1/2'
'-x+1/2,-y+1/2,z'
'x+1/2,y+1/2,-z'
'y,-x+1/2,z+1/2'
'-y,x+1/2,-z+1/2'
'x+1/2,-y,-z'
'-x+1/2,y,z'
'-y,-x,-z+1/2'
'y,x,z+1/2'
'-x,y+1/2,-z'
'x,-y+1/2,z'
'y+1/2,x+1/2,-z+1/2'
'-y+1/2,-x+1/2,z+1/2'
loop_
_atom_site_label
_atom_site_type_symbol
_atom_site_fract_x
_atom_site_fract_y
_atom_site_fract_z
_atom_site_occupancy
Sm1 Sm 0.2500 0.7500 0.2500 1
Mg1 Mg 0.0089 0.2500 0.1482 1
Ga1 Ga 0.0502 0.2500 0.4514 1

---

# YBe4Co, relaxed, DFT PBE
# Energy of formation in eV/f.u.: -0.611
data_YBe4Co
_chemical_formula_sum 'Y4 Be16 Co4'
_cell_length_a 6.5022
_cell_length_b 6.5022
_cell_length_c 6.5022
_cell_angle_alpha 90.00
_cell_angle_beta 90.00
_cell_angle_gamma 90.00
_space_group_name_H-M_alt 'F -4 3 m'
_space_group_IT_number 216
_space_group_name_Hall 'F -4 2 3'
loop_
_atom_site_label
_atom_site_type_symbol
_atom_site_fract_x
_atom_site_fract_y
_atom_site_fract_z
_atom_site_occupancy
Y1 Y 0.0000 0.0000 0.0000 1
Be1 Be 0.1211 0.1211 0.3789 1
Co1 Co 0.2500 0.2500 0.7500 1